(1)
CaDy2Ni | the Alexandria database | PBE | optimized geometry; calculated volume = 131.7 Å³/cell; magnetic moment = 0.0 μB/f.u.; offset from the most stable computed form = 144 meV/atom; calculated formation energy = -0.1 kcal/mol of atoms
1.0
-3.5869 0.2922 1.3828
-0.9534 -1.7891 3.2792
1.2147 7.8023 6.8764
Dy Ni Ca
2 1 1
Direct
0.1185 0.1185 0.6446
0.8815 0.8815 0.3554
0.5000 0.5000 0.5000
0.0000 0.0000 0.0000


(2)
TaRh2Br | the Alexandria database | PBE | optimized geometry; calculated volume = 83.6 Å³/cell; magnetic moment = 0.0 μB/f.u.; offset from the most stable computed form = 246 meV/atom; raw formation energy = 0.0080 eV/atom
1.0
-1.2256 1.5888 -2.4319
-3.3002 -1.2104 0.8724
-0.7578 5.9168 4.2473
Rh Br Ta
2 1 1
Direct
0.5000 0.2405 0.2731
0.0000 0.7252 0.0859
0.5000 0.7832 0.7198
0.0000 0.7511 0.4212


(3)
TbHfZn2 | the Alexandria database | PBE | optimized geometry; calculated volume = 81.2 Å³/cell; magnetic moment = 0.0 μB/f.u.; calculated formation energy = -5.4 kcal/mol of atoms
1.0
-2.4125 -0.6735 2.3451
-1.5078 -2.1813 -2.1776
3.8549 -5.1477 2.4873
Tb Zn Hf
1 2 1
Direct
0.5000 0.5000 0.5000
0.0000 0.0000 0.2202
0.0000 0.0000 0.7798
0.5000 0.5000 0.0000


(4)
BeP3 | the Alexandria database | PBE | optimized geometry; calculated volume = 52.2 Å³/cell; magnetic moment = 0.0 μB/f.u.; offset from the most stable computed form = 770 meV/atom; calculated formation energy = 14.3 kcal/mol of atoms
1.0
4.5502 0.0008 0.0000
-0.0006 4.5502 0.0000
0.0000 0.0000 2.5219
P Be
3 1
Direct
0.5000 0.0000 0.5000
0.5000 0.5000 0.0000
0.0000 0.5000 0.5000
0.0000 0.0000 0.0000


(5)
CaSbOs2 | the Alexandria database | PBE | optimized geometry; calculated volume = 78.1 Å³/cell; magnetic moment = 0.0 μB/f.u.; raw formation energy = 0.2719 eV/atom
1.0
-1.0551 -1.3592 2.5279
-2.2953 -1.2174 -1.6126
4.7049 -6.6998 -1.6385
Os Sb Ca
2 1 1
Direct
0.5000 0.5000 0.2202
0.0000 0.0000 0.0407
0.0000 0.0000 0.4594
0.5000 0.5000 0.7797


(6)
Nd2Dy2Co2Cl | the Alexandria database | PBE | optimized geometry; calculated volume = 183.5 Å³/cell; magnetic moment = 0.0 μB/f.u.; raw formation energy = -0.4852 eV/atom
1.0
-1.4407 3.3975 0.3821
-7.2789 -1.3365 2.4501
-0.2579 1.1360 6.9384
Nd Co Cl Dy
2 2 1 2
Direct
0.4625 0.7359 0.3390
0.5375 0.2641 0.6610
0.8986 0.5185 0.6843
0.1014 0.4815 0.3157
0.0000 0.0000 0.0000
0.2284 0.6774 0.8657
0.7716 0.3226 0.1343


(7)
AcScCd2Au4 | the Alexandria database | PBE | optimized geometry; calculated volume = 180.1 Å³/cell; magnetic moment = 0.0 μB/f.u.; calculated formation energy = -13.8 kcal/mol of atoms
1.0
4.8642 0.0000 0.0000
2.4321 4.2126 0.0000
2.4321 1.4042 8.7898
Sc Au Cd Ac
1 4 2 1
Direct
0.5000 0.5000 0.5000
0.8692 0.8692 0.3925
0.1308 0.1308 0.6075
0.6064 0.6064 0.1808
0.3936 0.3936 0.8192
0.2421 0.2421 0.2737
0.7579 0.7579 0.7263
0.0000 0.0000 0.0000


(8)
WSe2I | the Alexandria database | PBE | optimized geometry; calculated volume = 242.7 Å³/cell; magnetic moment = 0.0 μB/f.u.; offset from the most stable computed form = 0 meV/atom; raw formation energy = -0.2800 eV/atom
1.0
-0.7680 -2.8953 1.3184
1.2034 -2.7063 -5.2421
11.3636 -0.7271 5.0225
Se I W
4 2 2
Direct
0.4175 0.8699 0.8459
0.9175 0.1301 0.1541
0.9176 0.3921 0.8860
0.4176 0.6079 0.1140
0.4375 0.7490 0.4963
0.9375 0.2510 0.5037
0.4175 0.1912 0.0063
0.9175 0.8088 0.9937


(9)
KCr2Tc | the Alexandria database | PBE | optimized geometry; calculated volume = 77.0 Å³/cell; magnetic moment = 3.3 μB/f.u.; offset from the most stable computed form = 3 meV/atom; calculated formation energy = 18.2 kcal/mol of atoms
1.0
2.9779 0.0000 0.0000
0.0000 2.9779 0.0000
0.0000 0.0000 8.6829
Tc K Cr
1 1 2
Direct
0.5000 0.5000 0.8397
0.0000 0.0000 0.4991
0.0000 0.0000 0.9955
0.5000 0.5000 0.1657


(10)
BeVSe | the Alexandria database | PBE | optimized geometry; calculated volume = 92.0 Å³/cell; magnetic moment = 0.0 μB/f.u.; offset from the most stable computed form = 0 meV/atom; raw formation energy = -0.3712 eV/atom
1.0
3.2085 0.0000 0.0009
0.0000 3.3090 0.0000
-1.5550 0.0000 8.6676
Se V Be
2 2 2
Direct
0.6475 0.7500 0.3045
0.3525 0.2500 0.6955
0.9279 0.7500 0.8511
0.0721 0.2500 0.1489
0.4719 0.2500 0.9416
0.5281 0.7500 0.0584


(11)
LaCdB | the Alexandria database | PBE | optimized geometry; calculated volume = 127.7 Å³/cell; magnetic moment = 0.0 μB/f.u.; offset from the most stable computed form = 590 meV/atom; calculated formation energy = 5.6 kcal/mol of atoms
1.0
-4.0046 0.3521 2.7459
0.5794 -3.8035 -2.9830
2.8465 -3.1378 4.5539
B La Cd
2 2 2
Direct
0.3333 0.6667 0.2500
0.6667 0.3333 0.7500
0.3333 0.6667 0.7500
0.6667 0.3333 0.2500
0.0000 0.0000 0.5000
0.0000 0.0000 0.0000


(12)
Ac3PmIn2 | the Alexandria database | PBE | optimized geometry; calculated volume = 226.9 Å³/cell; magnetic moment = 0.0 μB/f.u.; calculated formation energy = -6.2 kcal/mol of atoms
1.0
-4.9734 0.2773 0.1368
-0.2155 -4.7613 1.8153
2.9998 5.4081 7.3610
Ac In Pm
3 2 1
Direct
0.5000 0.5000 0.0000
0.1785 0.6788 0.3570
0.8215 0.3212 0.6430
0.3683 0.8677 0.7366
0.6317 0.1323 0.2634
0.0000 0.0000 0.0000


Which of these has the highest magnetic moment? KCr2Tc